1.
A plane-wave DFT calculation with PBE was carried out for a relaxed ZrZnAs2 crystal.

a b c (Å): 3.869 3.869 9.855
angles (deg): 90.00 90.00 90.00
Space group I-4m2 (No. 119)
Symmetry-distinct sites (fractional):
Zr1 0.000 0.000 0.000 x2
Zn1 0.000 0.500 0.750 x2
As1 0.000 0.000 0.500 x2
As2 0.000 0.500 0.250 x2



2.
A plane-wave DFT calculation with PBE was carried out for a relaxed ZrZnAs2 crystal.

a b c (Å): 10.805 3.663 3.888
angles (deg): 90.00 93.67 90.00
Space group Cm (No. 8)
Symmetry-distinct sites (fractional):
Zr1 0.000 0.000 0.000 x2
Zn1 0.209 0.000 0.540 x2
As1 0.203 0.500 0.029 x2
As2 0.436 0.000 0.488 x2



3.
A plane-wave DFT calculation with PBE was carried out for a relaxed ZrZnAs3 crystal.

- E above lowest polymorph (kcal/mol of atoms) = 0.000

a b c (Å): 5.190 5.190 5.190
angles (deg): 90.00 90.00 90.00
Space group Pm-3m (No. 221)
Symmetry-distinct sites (fractional):
Zr1 0.000 0.000 0.000 x1
Zn1 0.500 0.500 0.500 x1
As1 0.000 0.000 0.500 x3



4.
A plane-wave DFT calculation with PBE was carried out for a relaxed Zr4ZnAs crystal.

- E above lowest polymorph (kcal/mol of atoms) = 19.960

a b c (Å): 8.075 8.075 8.075
angles (deg): 90.00 90.00 90.00
Space group F-43m (No. 216)
Symmetry-distinct sites (fractional):
Zr1 0.124 0.124 0.376 x16
Zn1 0.250 0.250 0.750 x4
As1 0.000 0.000 0.000 x4



5.
A plane-wave DFT calculation with PBE was carried out for a relaxed ZrZnAs2 crystal.

a b c (Å): 3.847 4.715 8.946
angles (deg): 90.00 90.00 90.00
Space group Cmm2 (No. 35)
Symmetry-distinct sites (fractional):
Zr1 0.000 0.000 0.000 x2
Zn1 0.000 0.500 0.763 x2
As1 0.000 0.000 0.568 x2
As2 0.000 0.500 0.222 x2



6.
A plane-wave DFT calculation with PBE was carried out for a relaxed ZrZnAs2 crystal.

a b c (Å): 3.8318 3.8318 19.1828
angles (deg): 90.00 90.00 120.00
Space group R-3m (No. 166, hexagonal axes)
Symmetry-distinct sites (fractional):
Zr1 0.0000 0.0000 0.0000 x3
Zn1 0.0000 0.0000 0.5000 x3
As1 0.0000 0.0000 0.2475 x6



no.,electronic total energy (eV per atom),energy of formation from the pure elements (eV/atom)
1,-5.192,-0.412
2,-5.333,-0.553
3,-4.431,0.323
4,-6.357,0.329
5,-4.915,-0.135
6,-5.197,-0.416